Density functional theory data (GGA-PBE) for K2BaZn2O4 after structural relaxation.

Unit cell a=12.583 b=3.767 c=9.277 alpha=90.00 beta=129.05 gamma=90.00
Space group C2/m (No. 12)
Symmetry-distinct sites (fractional):
K (0.159, 0.000, 0.259) [4 per cell]
Ba (0.000, 0.000, 0.500) [2 per cell]
Zn (0.141, 0.500, 0.878) [4 per cell]
O (0.047, 0.500, 0.338) [4 per cell]
O (0.231, 0.000, 0.854) [4 per cell]

Summary:
E_form (uncorrected), meV per atom: -1597
Calculated volume, Å³ per atom: 19.0